Record 1
First-principles (PBE) data for TiAgAuF6 after structural relaxation, as listed in Alexandria via LeMat-Bulk.

It has space group P-31c (No. 163), with a = 6.0297 Å, b = 6.0297 Å, c = 9.0467 Å, α = 90.00°, β = 90.00° and γ = 120.00°. Symmetry generates all atoms from Ti at (0.3333, 0.6667, 0.2500), Ag at (0.3333, 0.6667, 0.7500), Au at (0.0000, 0.0000, 0.0000) and F at (0.0732, 0.4056, 0.1316).

The calculated total energy comes out at -4.9500 eV per atom.


Record 2
First-principles (PBE) data for TlAg2AuF8 after structural relaxation, as listed in Alexandria via LeMat-Bulk.

It has space group P-1 (No. 2), with a = 3.8049 Å, b = 5.5846 Å, c = 9.1519 Å, α = 93.70°, β = 91.01° and γ = 92.52°. Symmetry generates all atoms from Tl at (0.0000, 0.0000, 0.0000), Ag at (0.4795, 0.4876, 0.7368), Au at (0.0000, 0.0000, 0.5000), F at (0.0039, 0.7174, 0.8315), F at (0.0467, 0.7976, 0.3144), F at (0.3629, 0.2499, 0.4500) and F at (0.4956, 0.1923, 0.9212).

The calculated total energy comes out at -3.5112 eV per atom.


Record 3
First-principles (PBE) data for TlAg2AuF6 after structural relaxation, as listed in Alexandria via LeMat-Bulk.

It has space group P-1 (No. 2), with a = 5.4544 Å, b = 5.5813 Å, c = 6.3668 Å, α = 102.75°, β = 108.67° and γ = 102.17°. Symmetry generates all atoms from Tl at (0.0000, 0.0000, 0.0000), Ag at (0.4903, 0.3455, 0.6824), Au at (0.0000, 0.5000, 0.5000), F at (0.0524, 0.6119, 0.8384), F at (0.2460, 0.9905, 0.3428) and F at (0.3627, 0.2521, 0.0058).

The calculated total energy comes out at -3.4830 eV per atom.


Record 4
First-principles (PBE) data for ZnAgAuF6 after structural relaxation, as listed in Alexandria via LeMat-Bulk.

It has space group P-31c (No. 163), with a = 5.6332 Å, b = 5.6332 Å, c = 9.9115 Å, α = 90.00°, β = 90.00° and γ = 120.00°. Symmetry generates all atoms from Zn at (0.3333, 0.6667, 0.2500), Ag at (0.0000, 0.0000, 0.0000), Au at (0.3333, 0.6667, 0.7500) and F at (0.0147, 0.3601, 0.1388).

The calculated total energy comes out at -3.4550 eV per atom.


Record 5
First-principles (PBE) data for FeAgAu2 after structural relaxation, as listed in Alexandria via LeMat-Bulk.

It has space group Cm (No. 8), with a = 9.5346 Å, b = 2.8760 Å, c = 4.9506 Å, α = 90.00°, β = 100.04° and γ = 90.00°. Symmetry generates all atoms from Fe at (0.0000, 0.0000, 0.0000), Ag at (0.2466, 0.5000, 0.2626), Au at (0.0023, 0.5000, 0.5037) and Au at (0.2593, 0.0000, 0.7802).

For the energy above the most stable polymorph in this dataset, the calculation gives 86 meV per atom. The value obtained for the formation enthalpy at 0 K is 0.149 eV per atom.


Record 6
First-principles (PBE) data for FeAg2Au after structural relaxation, as listed in Alexandria via LeMat-Bulk.

It has space group Cm (No. 8), with a = 9.4008 Å, b = 2.8538 Å, c = 5.0412 Å, α = 90.00°, β = 99.90° and γ = 90.00°. Symmetry generates all atoms from Fe at (0.0000, 0.0000, 0.0000), Ag at (0.2537, 0.0000, 0.7384), Ag at (0.4979, 0.0000, 0.4951) and Au at (0.2416, 0.5000, 0.2207).

For the energy above the most stable polymorph in this dataset, the calculation gives 67 meV per atom. The value obtained for the formation enthalpy at 0 K is 0.222 eV per atom.